A plane-wave DFT calculation with PBE was carried out for KMoCl4 after structural relaxation.

Summary:
E_form (uncorrected) in eV/atom: 0.38
Energy relative to the lowest polymorph listed for this composition in meV per atom: 1565
Space-group type: No. 216
DOS(E_F) in states/eV per cell: 7.9

a = 6.102 Å, b = 6.102 Å, c = 6.102 Å
α = 60.00°, β = 60.00°, γ = 60.00°
Positions (direct):
1 Cl 0.876 0.375 0.375
2 Cl 0.375 0.375 0.876
3 K 0.750 0.750 0.750
4 Cl 0.375 0.876 0.375
5 Cl 0.375 0.375 0.375
6 Mo 0.000 0.000 0.000